Entry 1:
Computed, not measured: a relaxed CePm2Ho4 crystal at the PBE level of DFT.

Computed properties:
space group = Cm (8)
formation energy from the elements = 0.04 eV per atom

POSCAR file:
```
CePm2Ho4
1.0
3.107 -1.791 0.000
3.107 1.791 0.000
-2.078 0.000 20.134
Ce Pm Ho
1 2 4
Cartesian
0.000 0.000 0.000
4.204 0.000 8.581
4.161 0.000 14.379
0.029 0.000 5.655
0.031 0.000 11.494
2.105 0.000 17.273
4.179 0.000 2.861
```



Entry 2:
Computed, not measured: a relaxed NaBiPbO2 crystal at the PBE level of DFT.

Computed properties:
space group = P4/mmm (123)

POSCAR file:
```
NaBiPbO2
1.0
4.443 0.000 0.000
0.000 4.443 0.000
0.000 0.000 5.279
Na Bi Pb O
1 1 1 2
Cartesian
0.000 0.000 0.000
2.221 2.221 2.640
0.000 0.000 2.640
0.000 2.221 0.000
2.221 0.000 0.000
```



Entry 3:
Computed, not measured: a relaxed Ba3Sn2As2Pd4 crystal at the PBE level of DFT.

Computed properties:
space group = P-3m1 (164)
formation energy from the elements = -0.74 eV per atom

POSCAR file:
```
Ba3Sn2As2Pd4
1.0
4.513 0.000 0.000
-2.256 3.908 0.000
0.000 0.000 17.166
Ba Sn As Pd
3 2 2 4
Cartesian
0.000 0.000 0.000
0.000 0.000 4.532
0.000 0.000 12.635
0.000 2.606 9.739
2.256 1.303 7.427
0.000 2.606 2.374
2.256 1.303 14.792
0.000 2.606 7.030
0.000 2.606 14.861
2.256 1.303 2.305
2.256 1.303 10.136
```



Number 1: electronic total energy -4.780 eV per atom. Number 2: electronic total energy -3.478 eV per atom. Number 3: electronic total energy -4.729 eV per atom.